Entry 1:
Compound: Nd3Cd3Ag2
Source: Alexandria via LeMat-Bulk
Functional: PBE
Structure: relaxed

Results
**Crystal system**: hexagonal
**E_form**: -0.2736 eV/atom

The structure in CIF format:
```
data_Nd3Cd3Ag2
_chemical_formula_sum 'Nd3 Cd3 Ag2'
_space_group_name_H-M_alt 'P -6 2 m'
_space_group_IT_number 189
_space_group_name_Hall 'P -6 -2'
_cell_length_a 7.8240
_cell_length_b 7.8240
_cell_length_c 4.0326
_cell_angle_alpha 90.00
_cell_angle_beta 90.00
_cell_angle_gamma 120.00
loop_
_atom_site_label
_atom_site_fract_x
_atom_site_fract_y
_atom_site_fract_z
Nd1 0.0000 0.5942 0.0000
Cd1 0.0000 0.2306 0.5000
Ag1 0.3333 0.6667 0.5000
```


Entry 2:
Compound: Tm2CoN
Source: Alexandria via LeMat-Bulk
Functional: PBE
Structure: relaxed

Results
**Energy relative to the elements, uncorrected**: -8.18 kcal/mol of atoms
**Crystal system**: trigonal

The structure in CIF format:
```
data_Tm2CoN
_chemical_formula_sum 'Tm6 Co3 N3'
_space_group_name_H-M_alt 'R -3 m'
_space_group_IT_number 166
_space_group_name_Hall '-R 3 2"'
_cell_length_a 3.2973
_cell_length_b 3.2973
_cell_length_c 23.0579
_cell_angle_alpha 90.00
_cell_angle_beta 90.00
_cell_angle_gamma 120.00
loop_
_atom_site_label
_atom_site_fract_x
_atom_site_fract_y
_atom_site_fract_z
Tm1 0.0000 0.0000 0.1080
Co1 0.0000 0.0000 0.0000
N1 0.0000 0.0000 0.5000
```


Entry 3:
Compound: ZnCo2W
Source: Alexandria via LeMat-Bulk
Functional: PBE
Structure: relaxed

Results
**Crystal system**: tetragonal
**E_form**: 0.1317 eV/atom

The structure in CIF format:
```
data_ZnCo2W
_chemical_formula_sum 'Zn1 Co2 W1'
_space_group_name_H-M_alt 'P 4 m m'
_space_group_IT_number 99
_space_group_name_Hall 'P 4 -2'
_cell_length_a 2.657
_cell_length_b 2.657
_cell_length_c 7.347
_cell_angle_alpha 90.00
_cell_angle_beta 90.00
_cell_angle_gamma 90.00
loop_
_atom_site_label
_atom_site_fract_x
_atom_site_fract_y
_atom_site_fract_z
Zn1 0.000 0.000 0.000
Co1 0.000 0.000 0.451
Co2 0.500 0.500 0.244
W1 0.500 0.500 0.713
```


Entry 4:
Compound: HfFe2Br8
Source: Alexandria via LeMat-Bulk
Functional: PBE
Structure: relaxed

Results
**Energy relative to the elements, uncorrected**: -18.79 kcal/mol of atoms
**Crystal system**: monoclinic

The structure in CIF format:
```
data_HfFe2Br8
_chemical_formula_sum 'Hf2 Fe4 Br16'
_space_group_name_H-M_alt 'C 1 2/m 1'
_space_group_IT_number 12
_space_group_name_Hall '-C 2y'
_cell_length_a 13.786
_cell_length_b 9.141
_cell_length_c 6.302
_cell_angle_alpha 90.00
_cell_angle_beta 90.54
_cell_angle_gamma 90.00
loop_
_atom_site_label
_atom_site_fract_x
_atom_site_fract_y
_atom_site_fract_z
Hf1 0.000 0.000 0.000
Fe1 0.167 0.000 0.368
Br1 0.077 0.211 0.234
Br2 0.159 0.000 0.762
Br3 0.171 0.500 0.719
```


Number 1: calculated density 7.656 g cm⁻³, DOS at the Fermi energy 8.080 states/eV/cell. Number 2: calculated density 9.426 g cm⁻³, DOS at the Fermi energy 9.805 states/eV/cell. Number 3: calculated density 11.749 g cm⁻³, DOS at the Fermi energy 3.215 states/eV/cell. Number 4: calculated density 3.887 g cm⁻³, DOS at the Fermi energy 9.831 states/eV/cell.